[1]
Density functional theory data (GGA-PBE) for a geometry-optimized BaHgSe2N structure.

Values from the calculation:
E above lowest polymorph, meV/atom: 0
Calculated density, g cm⁻³: 6.4

CIF file:
```
data_BaHgSe2N
_chemical_formula_sum 'Ba1 Hg1 Se2 N1'
_space_group_name_H-M_alt 'P 1'
_space_group_IT_number 1
_cell_length_a 5.514
_cell_length_b 5.514
_cell_length_c 4.368
_cell_angle_alpha 90.00
_cell_angle_beta 90.00
_cell_angle_gamma 90.00
loop_
_space_group_symop_operation_xyz
'x,y,z'
loop_
_atom_site_label
_atom_site_type_symbol
_atom_site_fract_x
_atom_site_fract_y
_atom_site_fract_z
Ba1 Ba 0.000 0.000 0.000
Hg1 Hg 0.500 0.500 0.500
Se1 Se 0.000 0.500 0.500
Se2 Se 0.500 0.000 0.500
N1 N 0.500 0.500 0.000
```

[2]
Density functional theory data (GGA-PBE) for a geometry-optimized YRe3N structure.

Values from the calculation:
E above lowest polymorph, meV/atom: 4182
Calculated density, g cm⁻³: 9.7

CIF file:
```
data_YRe3N
_chemical_formula_sum 'Y1 Re3 N1'
_space_group_name_H-M_alt 'P 1'
_space_group_IT_number 1
_cell_length_a 4.832
_cell_length_b 4.832
_cell_length_c 4.832
_cell_angle_alpha 90.00
_cell_angle_beta 90.00
_cell_angle_gamma 90.00
loop_
_space_group_symop_operation_xyz
'x,y,z'
loop_
_atom_site_label
_atom_site_type_symbol
_atom_site_fract_x
_atom_site_fract_y
_atom_site_fract_z
Y1 Y 0.000 0.000 0.000
Re1 Re 0.000 0.000 0.500
Re2 Re 0.000 0.500 0.000
Re3 Re 0.500 0.000 0.000
N1 N 0.500 0.500 0.500
```